Entry 1:
Mg14ZnCuO16 at its PBEsol-relaxed geometry, computed with meta-GGA SCAN.

Output
uncorrected formation energy = -2767 meV/atom
density of states at the Fermi level = 3.345 states/eV per cell
volume = 9.39 Å³ per atom

Cell lengths 4.213, 8.440, 8.451 Å; angles 90.00, 90.00, 90.00 degrees
Sites, in units of the cell vectors:
Mg1 0.000 0.000 0.000
Mg2 0.000 0.249 0.251
Mg3 0.000 0.249 0.749
Mg4 0.000 0.500 0.000
Mg5 0.000 0.751 0.251
Mg6 0.000 0.751 0.749
Mg7 0.500 0.000 0.251
Mg8 0.500 0.000 0.749
Mg9 0.500 0.249 0.500
Mg10 0.500 0.250 0.000
Mg11 0.500 0.500 0.250
Mg12 0.500 0.500 0.750
Mg13 0.500 0.750 0.000
Mg14 0.500 0.751 0.500
Zn1 0.000 0.500 0.500
Cu1 0.000 0.000 0.500
O1 0.000 0.000 0.247
O2 0.000 0.000 0.753
O3 0.000 0.250 0.000
O4 0.000 0.250 0.500
O5 0.000 0.500 0.247
O6 0.000 0.500 0.753
O7 0.000 0.750 0.000
O8 0.000 0.750 0.500
O9 0.500 0.000 0.000
O10 0.500 0.000 0.500
O11 0.500 0.250 0.251
O12 0.500 0.250 0.749
O13 0.500 0.500 0.000
O14 0.500 0.500 0.500
O15 0.500 0.750 0.251
O16 0.500 0.750 0.749

=====

Entry 2:
MgCu2Os at its PBEsol-relaxed geometry, computed with meta-GGA SCAN.

Output
ΔH_f (0 K) = 0.33 eV per atom
density of states at the Fermi level = 1.889 states/eV per cell
volume = 13.60 Å³ per atom

Cell lengths 2.614, 2.614, 8.639 Å; angles 90.00, 90.00, 112.89 degrees
Sites, in units of the cell vectors:
Mg1 0.000 0.000 0.000
Cu1 0.500 0.500 0.252
Cu2 0.500 0.500 0.748
Os1 0.000 0.000 0.500

=====

Q: Among the records above, which one has the highest density of states at the Fermi level?
A: Mg14ZnCuO16